Here is MgCdC3 after structural relaxation from Alexandria via LeMat-Bulk. Energies are from PBE-GGA.

Summary:
Magnetic moment in μB/f.u.: 0.62
Energy of formation from the pure elements in meV per atom: 2983
Density of states at the Fermi level in states/eV/atom: 0.686
Polymorph energy (0 for the lowest one) in eV per atom: 0.211
Uncorrected energy in eV for the cell shown: -15.3

Cell lengths 4.3091, 4.3091, 4.3091 Å; angles 90.00, 90.00, 90.00 degrees
Sites, in units of the cell vectors:
Mg: 0.0000 0.0000 0.0000
Cd: 0.5000 0.5000 0.5000
C: 0.0000 0.5000 0.5000
C: 0.5000 0.0000 0.5000
C: 0.5000 0.5000 0.0000